Computed, not measured: crystalline Tc2HgOs at its relaxed geometry at the PBE level of DFT.

Structure (CIF):
```
data_Tc2HgOs
_cell_length_a 3.8777
_cell_length_b 3.8777
_cell_length_c 8.3497
_cell_angle_alpha 90.00
_cell_angle_beta 90.00
_cell_angle_gamma 90.00
_symmetry_space_group_name_H-M 'I 4/m m m'
_symmetry_Int_Tables_number 139
_symmetry_space_group_name_Hall '-I 4 2'
loop_
_atom_site_label
_atom_site_type_symbol
_atom_site_fract_x
_atom_site_fract_y
_atom_site_fract_z
Tc1 Tc 0.0000 0.5000 0.2500
Hg1 Hg 0.0000 0.0000 0.0000
Os1 Os 0.0000 0.0000 0.5000
```

Calculated values
The calculation puts the size of the total moment at 0.00 μB/f.u.


Computed, not measured: crystalline Tc2HgOs at its relaxed geometry at the PBE level of DFT.

Structure (CIF):
```
data_Tc2HgOs
_cell_length_a 3.9677
_cell_length_b 3.9677
_cell_length_c 4.0034
_cell_angle_alpha 90.00
_cell_angle_beta 90.00
_cell_angle_gamma 90.00
_symmetry_space_group_name_H-M 'P 4/m m m'
_symmetry_Int_Tables_number 123
_symmetry_space_group_name_Hall '-P 4 2'
loop_
_atom_site_label
_atom_site_type_symbol
_atom_site_fract_x
_atom_site_fract_y
_atom_site_fract_z
Tc1 Tc 0.0000 0.5000 0.0000
Hg1 Hg 0.0000 0.0000 0.5000
Os1 Os 0.5000 0.5000 0.5000
```

Calculated values
The calculation puts the size of the total moment at 0.97 μB/f.u.


Computed, not measured: crystalline TcHgOs at its relaxed geometry at the PBE level of DFT.

Structure (CIF):
```
data_TcHgOs
_cell_length_a 2.8794
_cell_length_b 2.8794
_cell_length_c 12.0913
_cell_angle_alpha 90.00
_cell_angle_beta 90.00
_cell_angle_gamma 90.00
_symmetry_space_group_name_H-M 'I 4 m m'
_symmetry_Int_Tables_number 107
_symmetry_space_group_name_Hall 'I 4 -2'
loop_
_atom_site_label
_atom_site_type_symbol
_atom_site_fract_x
_atom_site_fract_y
_atom_site_fract_z
Tc1 Tc 0.0000 0.0000 0.0000
Hg1 Hg 0.0000 0.0000 0.3150
Os1 Os 0.0000 0.0000 0.6289
```

Calculated values
The calculation puts the size of the total moment at 0.00 μB/f.u. The polymorph energy (0 for the lowest one) is 0 meV per atom.


Computed, not measured: crystalline TcHgOs at its relaxed geometry at the PBE level of DFT.

Structure (CIF):
```
data_TcHgOs
_cell_length_a 2.8410
_cell_length_b 2.8410
_cell_length_c 7.0969
_cell_angle_alpha 90.00
_cell_angle_beta 90.00
_cell_angle_gamma 120.00
_symmetry_space_group_name_H-M 'P 3 m 1'
_symmetry_Int_Tables_number 156
loop_
_symmetry_equiv_pos_as_xyz
'x,y,z'
'-y,x-y,z'
'-x+y,-x,z'
'-y,-x,z'
'-x+y,y,z'
'x,x-y,z'
loop_
_atom_site_label
_atom_site_type_symbol
_atom_site_fract_x
_atom_site_fract_y
_atom_site_fract_z
Tc1 Tc 0.0000 0.0000 0.0000
Hg1 Hg 0.3333 0.6667 0.3572
Os1 Os 0.6667 0.3333 0.7185
```

Calculated values
The calculation puts the size of the total moment at 0.00 μB/f.u. The polymorph energy (0 for the lowest one) is 37 meV per atom.


| no. | uncorrected energy (eV per atom) |
| --- | --- |
| 1 | -7.42 |
| 2 | -7.33 |
| 3 | -6.94 |
| 4 | -6.90 |